Na3Nd2PaTe6 | GGA-PBE | relaxed

Formation energy (no corrections) ... -1.1566 eV per atom
Space group ... C2/m (12)

POSCAR file:
```
Na3Nd2PaTe6
1.0
3.8804 -6.7209 0.0000
3.8804 6.7209 0.0000
-2.5885 0.0000 7.6294
Na Nd Pa Te
3 2 1 6
direct
0.0000 0.0000 0.0000 Na
0.3304 0.6696 0.0000 Na
0.6696 0.3304 0.0000 Na
0.1662 0.8338 0.5000 Nd
0.8338 0.1662 0.5000 Nd
0.5000 0.5000 0.5000 Pa
0.0942 0.4201 0.2599 Te
0.2548 0.2548 0.7402 Te
0.4201 0.0942 0.2599 Te
0.5799 0.9058 0.7401 Te
0.7452 0.7452 0.2598 Te
0.9058 0.5799 0.7401 Te
```